(1)
Material: Li3SiSn
Method: DFT, GGA-PBEsol
State: optimized geometry

Output
Uncorrected formation energy ... 144 meV/atom
Space group ... No. 221
Density of states at the Fermi level ... 1.97 states/eV per cell

abc: 4.6809 4.6809 4.6809
angles: 90.00 90.00 90.00
Fractional coordinates of all 5 atoms:
Li 0.0000 0.0000 0.5000
Li 0.0000 0.5000 0.0000
Li 0.5000 0.0000 0.0000
Si 0.0000 0.0000 0.0000
Sn 0.5000 0.5000 0.5000

=====

(2)
Material: SrLi2Si2
Method: DFT, GGA-PBEsol
State: optimized geometry

Output
Uncorrected formation energy ... -329 meV/atom
Space group ... No. 139
Density of states at the Fermi level ... 2.02 states/eV per cell

abc: 6.3174 6.3174 6.3174
angles: 140.15 140.15 57.62
Fractional coordinates of all 5 atoms:
Sr 0.0000 0.0000 0.0000
Li 0.2500 0.7500 0.5000
Li 0.7500 0.2500 0.5000
Si 0.3966 0.3966 0.0000
Si 0.6034 0.6034 0.0000

=====

(3)
Material: SrLi4Si
Method: DFT, GGA-PBEsol
State: optimized geometry

Output
Uncorrected formation energy ... -48 meV/atom
Space group ... No. 216
Density of states at the Fermi level ... 1.93 states/eV per cell

abc: 5.4489 5.4489 5.4489
angles: 60.00 60.00 60.00
Fractional coordinates of all 6 atoms:
Sr 0.0000 0.0000 0.0000
Li 0.3768 0.3768 0.3768
Li 0.3768 0.3768 0.8695
Li 0.3768 0.8695 0.3768
Li 0.8695 0.3768 0.3768
Si 0.7500 0.7500 0.7500

=====

(4)
Material: SrLi3Si
Method: DFT, GGA-PBEsol
State: optimized geometry

Output
Uncorrected formation energy ... -114 meV/atom
Space group ... No. 221
Density of states at the Fermi level ... 1.60 states/eV per cell

abc: 4.8580 4.8580 4.8580
angles: 90.00 90.00 90.00
Fractional coordinates of all 5 atoms:
Sr 0.0000 0.0000 0.0000
Li 0.0000 0.5000 0.5000
Li 0.5000 0.0000 0.5000
Li 0.5000 0.5000 0.0000
Si 0.5000 0.5000 0.5000

=====

(5)
Material: LiTa3Si
Method: DFT, GGA-PBEsol
State: optimized geometry

Output
Uncorrected formation energy ... 965 meV/atom
Space group ... No. 221
Density of states at the Fermi level ... 1.90 states/eV per cell

abc: 4.6509 4.6509 4.6509
angles: 90.00 90.00 90.00
Fractional coordinates of all 5 atoms:
Li 0.0000 0.0000 0.0000
Ta 0.0000 0.5000 0.5000
Ta 0.5000 0.0000 0.5000
Ta 0.5000 0.5000 0.0000
Si 0.5000 0.5000 0.5000

=====

(6)
Material: LiTaSi3
Method: DFT, GGA-PBEsol
State: optimized geometry

Output
Uncorrected formation energy ... 426 meV/atom
Space group ... No. 221
Density of states at the Fermi level ... 3.21 states/eV per cell

abc: 4.8537 4.8537 4.8537
angles: 90.00 90.00 90.00
Fractional coordinates of all 5 atoms:
Li 0.0000 0.0000 0.0000
Ta 0.5000 0.5000 0.5000
Si 0.0000 0.5000 0.5000
Si 0.5000 0.0000 0.5000
Si 0.5000 0.5000 0.0000

=====

(7)
Material: LiSiTc
Method: DFT, GGA-PBEsol
State: optimized geometry

Output
Uncorrected formation energy ... 83 meV/atom
Space group ... No. 107
Density of states at the Fermi level ... 1.94 states/eV per cell

abc: 6.3267 6.3267 6.3267
angles: 155.90 155.90 34.34
Fractional coordinates of all 3 atoms:
Li 0.0000 0.0000 0.0000
Si 0.6726 0.6726 0.0000
Tc 0.3161 0.3161 0.0000

=====

(8)
Material: LiSi3Tc
Method: DFT, GGA-PBEsol
State: optimized geometry

Output
Uncorrected formation energy ... 1119 meV/atom
Space group ... No. 221
Density of states at the Fermi level ... 4.44 states/eV per cell

abc: 4.1087 4.1087 4.1087
angles: 90.00 90.00 90.00
Fractional coordinates of all 5 atoms:
Li 0.0000 0.0000 0.0000
Si 0.0000 0.0000 0.5000
Si 0.0000 0.5000 0.0000
Si 0.5000 0.0000 0.0000
Tc 0.5000 0.5000 0.5000

=====

(9)
Material: Li2SiTc
Method: DFT, GGA-PBEsol
State: optimized geometry

Output
Uncorrected formation energy ... -54 meV/atom
Space group ... No. 25
Density of states at the Fermi level ... 1.88 states/eV per cell

abc: 2.6141 3.7290 5.5625
angles: 90.00 90.00 90.00
Fractional coordinates of all 4 atoms:
Li 0.0000 0.0000 0.0000
Li 0.5000 0.5000 0.2452
Si 0.0000 0.0000 0.5268
Tc 0.5000 0.5000 0.7213

=====

(10)
Material: Li2SiTc
Method: DFT, GGA-PBEsol
State: optimized geometry

Output
Uncorrected formation energy ... -175 meV/atom
Space group ... No. 47
Density of states at the Fermi level ... 1.23 states/eV per cell

abc: 2.8627 3.9943 4.5301
angles: 90.00 90.00 90.00
Fractional coordinates of all 4 atoms:
Li 0.0000 0.0000 0.0000
Li 0.5000 0.5000 0.0000
Si 0.0000 0.5000 0.5000
Tc 0.5000 0.0000 0.5000

=====

(11)
Material: Li2SiTc
Method: DFT, GGA-PBEsol
State: optimized geometry

Output
Uncorrected formation energy ... -197 meV/atom
Space group ... No. 71
Density of states at the Fermi level ... 1.14 states/eV per cell

abc: 5.2188 5.2188 5.2188
angles: 149.03 134.30 56.23
Fractional coordinates of all 4 atoms:
Li 0.2374 0.2374 0.0000
Li 0.7626 0.7626 0.0000
Si 0.0000 0.5000 0.5000
Tc 0.5000 0.0000 0.5000

=====

(12)
Material: LiSi2Te
Method: DFT, GGA-PBEsol
State: optimized geometry

Output
Uncorrected formation energy ... 68 meV/atom
Space group ... No. 25
Density of states at the Fermi level ... 1.97 states/eV per cell

abc: 3.0852 3.7004 6.5794
angles: 90.00 90.00 90.00
Fractional coordinates of all 4 atoms:
Li 0.0000 0.0000 0.0000
Si 0.0000 0.0000 0.3936
Si 0.5000 0.5000 0.2457
Te 0.5000 0.5000 0.8095

=====

(13)
Material: Li2SiTe
Method: DFT, GGA-PBEsol
State: optimized geometry

Output
Uncorrected formation energy ... -278 meV/atom
Space group ... No. 10
Density of states at the Fermi level ... 0.98 states/eV per cell
E above lowest polymorph ... 0.0193 eV/atom

abc: 3.0817 4.0461 5.9121
angles: 90.00 93.89 90.00
Fractional coordinates of all 4 atoms:
Li 0.0003 0.0000 0.2231
Li 0.9997 0.0000 0.7769
Si 0.5000 0.5000 0.0000
Te 0.5000 0.5000 0.5000

=====

(14)
Material: Li2SiTe
Method: DFT, GGA-PBEsol
State: optimized geometry

Output
Uncorrected formation energy ... -297 meV/atom
Space group ... No. 71
Density of states at the Fermi level ... 0.88 states/eV per cell
E above lowest polymorph ... 0.0000 eV/atom

abc: 5.1417 5.1417 5.1417
angles: 135.40 128.75 70.25
Fractional coordinates of all 4 atoms:
Li 0.2454 0.2454 0.0000
Li 0.7546 0.7546 0.0000
Si 0.0000 0.5000 0.5000
Te 0.5000 0.0000 0.5000

=====

(15)
Material: Li2SiTe
Method: DFT, GGA-PBEsol
State: optimized geometry

Output
Uncorrected formation energy ... -250 meV/atom
Space group ... No. 12
Density of states at the Fermi level ... 1.05 states/eV per cell
E above lowest polymorph ... 0.0468 eV/atom

abc: 5.0608 5.0608 3.0496
angles: 90.18 90.18 107.59
Fractional coordinates of all 4 atoms:
Li 0.0000 0.5000 0.0000
Li 0.5000 0.0000 0.0000
Si 0.0000 0.0000 0.5000
Te 0.5000 0.5000 0.5000

=====

(16)
Material: Li2SiTe
Method: DFT, GGA-PBEsol
State: optimized geometry

Output
Uncorrected formation energy ... -239 meV/atom
Space group ... No. 8
Density of states at the Fermi level ... 1.13 states/eV per cell
E above lowest polymorph ... 0.0581 eV/atom

abc: 5.7643 5.7643 4.7723
angles: 110.79 110.79 30.68
Fractional coordinates of all 4 atoms:
Li 0.0000 0.0000 0.0000
Li 0.7450 0.7450 0.4863
Si 0.4911 0.4911 0.4895
Te 0.2594 0.2594 0.0054

=====

(17)
Material: Li2SiTe
Method: DFT, GGA-PBEsol
State: optimized geometry

Output
Uncorrected formation energy ... -228 meV/atom
Space group ... No. 123
Density of states at the Fermi level ... 0.94 states/eV per cell
E above lowest polymorph ... 0.0693 eV/atom

abc: 3.0160 3.0160 8.3409
angles: 90.00 90.00 90.00
Fractional coordinates of all 4 atoms:
Li 0.0000 0.0000 0.2147
Li 0.0000 0.0000 0.7853
Si 0.5000 0.5000 0.0000
Te 0.5000 0.5000 0.5000

=====

(18)
Material: Li2SiTe
Method: DFT, GGA-PBEsol
State: optimized geometry

Output
Uncorrected formation energy ... -222 meV/atom
Space group ... No. 119
Density of states at the Fermi level ... 1.52 states/eV per cell
E above lowest polymorph ... 0.0758 eV/atom

abc: 5.5119 5.5119 5.5119
angles: 138.23 138.23 60.56
Fractional coordinates of all 4 atoms:
Li 0.0000 0.0000 0.0000
Li 0.7500 0.2500 0.5000
Si 0.2500 0.7500 0.5000
Te 0.5000 0.5000 0.0000

=====

(19)
Material: Li2TlSi
Method: DFT, GGA-PBEsol
State: optimized geometry

Output
Uncorrected formation energy ... -80 meV/atom
Space group ... No. 119
Density of states at the Fermi level ... 1.49 states/eV per cell

abc: 5.0425 5.0425 5.0425
angles: 131.73 131.73 70.66
Fractional coordinates of all 4 atoms:
Li 0.0000 0.0000 0.0000
Li 0.7500 0.2500 0.5000
Tl 0.5000 0.5000 0.0000
Si 0.2500 0.7500 0.5000

=====

(20)
Material: LiTlSi3
Method: DFT, GGA-PBEsol
State: optimized geometry

Output
Uncorrected formation energy ... 726 meV/atom
Space group ... No. 221
Density of states at the Fermi level ... 2.02 states/eV per cell

abc: 4.5516 4.5516 4.5516
angles: 90.00 90.00 90.00
Fractional coordinates of all 5 atoms:
Li 0.0000 0.0000 0.0000
Tl 0.5000 0.5000 0.5000
Si 0.0000 0.0000 0.5000
Si 0.0000 0.5000 0.0000
Si 0.5000 0.0000 0.0000

=====

(21)
Material: Li2SiW
Method: DFT, GGA-PBEsol
State: optimized geometry

Output
Uncorrected formation energy ... 159 meV/atom
Space group ... No. 123
Density of states at the Fermi level ... 2.53 states/eV per cell

abc: 3.5158 3.5158 4.3922
angles: 90.00 90.00 90.00
Fractional coordinates of all 4 atoms:
Li 0.0000 0.5000 0.0000
Li 0.5000 0.0000 0.0000
Si 0.0000 0.0000 0.5000
W 0.5000 0.5000 0.5000

=====

(22)
Material: LiSiW
Method: DFT, GGA-PBEsol
State: optimized geometry

Output
Uncorrected formation energy ... 177 meV/atom
Space group ... No. 44
Density of states at the Fermi level ... 1.52 states/eV per cell
E above lowest polymorph ... 0.0000 eV/atom

abc: 4.6652 4.6652 4.6652
angles: 146.61 134.24 57.82
Fractional coordinates of all 3 atoms:
Li 0.0000 0.0000 0.0000
Si 0.6502 0.6502 0.0000
W 0.3200 0.3200 0.0000

=====

(23)
Material: LiSiW
Method: DFT, GGA-PBEsol
State: optimized geometry

Output
Uncorrected formation energy ... 213 meV/atom
Space group ... No. 107
Density of states at the Fermi level ... 2.09 states/eV per cell
E above lowest polymorph ... 0.0360 eV/atom

abc: 6.6063 6.6063 6.6063
angles: 156.86 156.86 32.96
Fractional coordinates of all 3 atoms:
Li 0.0000 0.0000 0.0000
Si 0.6662 0.6662 0.0000
W 0.3168 0.3168 0.0000

=====

(24)
Material: LiYSi
Method: DFT, GGA-PBEsol
State: optimized geometry

Output
Uncorrected formation energy ... -640 meV/atom
Space group ... No. 189
Density of states at the Fermi level ... 0.83 states/eV per cell
E above lowest polymorph ... 0.0000 eV/atom

abc: 6.9298 6.9298 4.2028
angles: 90.00 90.00 120.00
Fractional coordinates of all 9 atoms:
Li 0.0000 0.7683 0.0000
Li 0.2317 0.2317 0.0000
Li 0.7683 0.0000 0.0000
Y 0.0000 0.4284 0.5000
Y 0.4284 0.0000 0.5000
Y 0.5716 0.5716 0.5000
Si 0.0000 0.0000 0.5000
Si 0.3333 0.6667 0.0000
Si 0.6667 0.3333 0.0000

=====

(25)
Material: Li3YSi
Method: DFT, GGA-PBEsol
State: optimized geometry

Output
Uncorrected formation energy ... 94 meV/atom
Space group ... No. 221
Density of states at the Fermi level ... 3.85 states/eV per cell

abc: 4.5957 4.5957 4.5957
angles: 90.00 90.00 90.00
Fractional coordinates of all 5 atoms:
Li 0.0000 0.0000 0.5000
Li 0.0000 0.5000 0.0000
Li 0.5000 0.0000 0.0000
Y 0.5000 0.5000 0.5000
Si 0.0000 0.0000 0.0000

=====

(26)
Material: Li2YSi
Method: DFT, GGA-PBEsol
State: optimized geometry

Output
Uncorrected formation energy ... -249 meV/atom
Space group ... No. 38
Density of states at the Fermi level ... 2.17 states/eV per cell

abc: 4.2748 5.6987 5.6987
angles: 35.54 90.00 90.00
Fractional coordinates of all 4 atoms:
Li 0.0000 0.0000 0.0000
Li 0.5000 0.4353 0.4353
Y 0.0000 0.7197 0.7197
Si 0.5000 0.1363 0.1363

=====

(27)
Material: LiY2Si2
Method: DFT, GGA-PBEsol
State: optimized geometry

Output
Uncorrected formation energy ... -705 meV/atom
Space group ... No. 127
Density of states at the Fermi level ... 6.00 states/eV per cell

abc: 7.0711 7.0711 4.1513
angles: 90.00 90.00 90.00
Fractional coordinates of all 10 atoms:
Li 0.0000 0.0000 0.0000
Li 0.5000 0.5000 0.0000
Y 0.1781 0.3219 0.5000
Y 0.3219 0.8219 0.5000
Y 0.6781 0.1781 0.5000
Y 0.8219 0.6781 0.5000
Si 0.1189 0.6189 0.0000
Si 0.3811 0.1189 0.0000
Si 0.6189 0.8811 0.0000
Si 0.8811 0.3811 0.0000

=====

(28)
Material: LiYSi
Method: DFT, GGA-PBEsol
State: optimized geometry

Output
Uncorrected formation energy ... -233 meV/atom
Space group ... No. 107
Density of states at the Fermi level ... 1.06 states/eV per cell
E above lowest polymorph ... 0.4074 eV/atom

abc: 5.8796 5.8796 5.8796
angles: 147.87 147.87 46.08
Fractional coordinates of all 3 atoms:
Li 0.0000 0.0000 0.0000
Y 0.2870 0.2870 0.0000
Si 0.6135 0.6135 0.0000

=====

(29)
Material: LiZnSi
Method: DFT, GGA-PBEsol
State: optimized geometry

Output
Uncorrected formation energy ... 21 meV/atom
Space group ... No. 156
Density of states at the Fermi level ... 0.98 states/eV per cell

abc: 2.7686 2.7686 6.4451
angles: 90.00 90.00 120.00
Fractional coordinates of all 3 atoms:
Li 0.0000 0.0000 0.0000
Zn 0.6667 0.3333 0.3414
Si 0.3333 0.6667 0.6739

=====

(30)
Material: LiZnSi
Method: DFT, GGA-PBEsol
State: optimized geometry

Output
Uncorrected formation energy ... -35 meV/atom
Space group ... No. 216
Density of states at the Fermi level ... 1.07 states/eV per cell

abc: 4.0901 4.0901 4.0901
angles: 60.00 60.00 60.00
Fractional coordinates of all 3 atoms:
Li 0.0000 0.0000 0.0000
Zn 0.5000 0.5000 0.5000
Si 0.2500 0.2500 0.2500